[1]
Entry from Alexandria via LeMat-Bulk: YCo2BrN after structural relaxation (PBE).

Cell: 5.1097 5.1097 5.2871 Å, 90.00 90.00 90.00°
Closest atoms and distances in Å follow each position.
Atoms (fractional coordinates):
Y 0.0000 0.0000 0.0000  4 Co 2.55, 2 Br 2.64
Co 0.0000 0.5000 0.0000  2 Y 2.55
Co 0.5000 0.0000 0.0000  2 Y 2.55
Br 0.0000 0.0000 0.5000  2 Y 2.64
N 0.5000 0.5000 0.5000  4 Br 3.61, 8 Co 3.68

Values from the calculation:
VASP energy (Ha/atom): -0.144
Space-group type: No. 123
Theoretical density (g/cm3): 3.6
M_tot (μB/f.u.): 3.51
N(E_F) (states/eV per atom): 4.17
ΔE_f (raw) (eV/atom): 2.23



[2]
Entry from Alexandria via LeMat-Bulk: CsBeTl3 after structural relaxation (PBE).

Cell: 6.8277 6.8277 6.8277 Å, 90.00 90.00 90.00°
Closest atoms and distances in Å follow each position.
Atoms (fractional coordinates):
Cs 0.0000 0.0000 0.0000  6 Tl 3.41
Be 0.5000 0.5000 0.5000  12 Tl 4.83
Tl 0.0000 0.0000 0.5000  2 Cs 3.41
Tl 0.0000 0.5000 0.0000  2 Cs 3.41
Tl 0.5000 0.0000 0.0000  2 Cs 3.41

Values from the calculation:
VASP energy (Ha/atom): -0.034
Space-group type: No. 221
E_form (eV/atom): 1.401
Theoretical density (g/cm3): 3.9
M_tot (μB/f.u.): 0.00
N(E_F) (states/eV per atom): 2.48
Excess energy over the best structure of this formula in the dataset (meV/atom): 1140.4



[3]
Entry from Alexandria via LeMat-Bulk: CaAlCu2H after structural relaxation (PBE).

Cell: 4.7980 4.7980 3.7382 Å, 90.00 90.00 90.00°
Closest atoms and distances in Å follow each position.
Atoms (fractional coordinates):
Ca 0.0000 0.0000 0.0000  8 Cu 3.04, 4 H 3.39
Al 0.5000 0.5000 0.5000  2 H 1.87
Cu 0.0000 0.5000 0.5000  2 Al 2.40
Cu 0.5000 0.0000 0.5000  2 Al 2.40
H 0.5000 0.5000 0.0000  2 Al 1.87

Values from the calculation:
VASP energy (Ha/atom): -0.122
Space-group type: No. 123
Theoretical density (g/cm3): 3.8
M_tot (μB/f.u.): 0.00
N(E_F) (states/eV per atom): 0.33



[4]
Entry from Alexandria via LeMat-Bulk: CdAsRu2 after structural relaxation (PBE).

Cell: 4.9374 4.9374 4.9174 Å, 108.29 108.29 35.42°
Closest atoms and distances in Å follow each position.
Atoms (fractional coordinates):
Cd 0.0000 0.0000 0.0000  7 Ru 2.67-2.96, 1 As 2.97
As 0.7610 0.7610 0.4277  5 Ru 2.48-2.65
Ru 0.2347 0.2347 0.8085  2 As 2.48, 1 Cd 2.67
Ru 0.4881 0.4881 0.4735  3 As 2.56-2.65, 2 Ru 2.80, 2 Cd 2.80

Values from the calculation:
VASP energy (Ha/atom): -0.212
Space-group type: No. 8
E_form (eV/atom): 0.260
Theoretical density (g/cm3): 9.9
M_tot (μB/f.u.): 0.00
N(E_F) (states/eV per atom): 1.04
Excess energy over the best structure of this formula in the dataset (meV/atom): 190.4



[5]
Entry from Alexandria via LeMat-Bulk: YInHg2 after structural relaxation (PBE).

Cell: 6.0662 6.0662 3.3696 Å, 101.88 101.88 115.23°
Closest atoms and distances in Å follow each position.
Atoms (fractional coordinates):
Y 0.0000 0.0000 0.0000  4 Hg 3.15, 2 In 3.25, 2 Y 3.37
In 0.5000 0.5000 0.0000  4 Hg 3.15, 2 Y 3.25, 2 In 3.37
Hg 0.0000 0.5000 0.5000  2 In 3.15, 2 Y 3.15, 4 Hg 3.25-3.37
Hg 0.5000 0.0000 0.5000  2 In 3.15, 2 Y 3.15, 4 Hg 3.25-3.37

Values from the calculation:
VASP energy (Ha/atom): -0.097
Space-group type: No. 12
E_form (eV/atom): -0.179
Theoretical density (g/cm3): 9.7
M_tot (μB/f.u.): 0.22
N(E_F) (states/eV per atom): 0.75



[6]
Entry from Alexandria via LeMat-Bulk: ThTc3 after structural relaxation (PBE).

Cell: 5.2969 17.7950 5.3632 Å, 90.00 116.09 90.00°
Closest atoms and distances in Å follow each position.
Atoms (fractional coordinates):
Th 0.1729 0.0372 0.3348  12 Tc 3.06-3.40, 2 Th 3.33-3.39
Th 0.1729 0.4628 0.3348  12 Tc 3.06-3.40, 2 Th 3.33-3.39
Th 0.2238 0.2500 0.3544  4 Tc 2.88-3.16
Th 0.7762 0.7500 0.6456  4 Tc 2.88-3.16
Th 0.8271 0.5372 0.6652  12 Tc 3.06-3.40, 2 Th 3.33-3.39
Th 0.8271 0.9628 0.6652  12 Tc 3.06-3.40, 2 Th 3.33-3.39
Tc 0.0522 0.7500 0.2426  8 Tc 2.62-2.88, 1 Th 2.88
Tc 0.2206 0.1214 0.8508  6 Tc 2.54-2.80
Tc 0.2206 0.3786 0.8508  6 Tc 2.54-2.80
Tc 0.2935 0.6282 0.1765  5 Tc 2.52-2.67
Tc 0.2935 0.8718 0.1765  5 Tc 2.52-2.67
Tc 0.2951 0.6341 0.6466  3 Tc 2.52-2.80
Tc 0.2951 0.8659 0.6466  3 Tc 2.52-2.80
Tc 0.4656 0.7500 0.0308  8 Tc 2.60-2.88
Tc 0.5000 0.0000 0.0000  2 Tc 2.54
Tc 0.5000 0.5000 0.0000  2 Tc 2.54
Tc 0.5344 0.2500 0.9692  8 Tc 2.60-2.88
Tc 0.7049 0.1341 0.3534  3 Tc 2.52-2.80
Tc 0.7049 0.3659 0.3534  3 Tc 2.52-2.80
Tc 0.7065 0.1282 0.8235  5 Tc 2.52-2.67
Tc 0.7065 0.3718 0.8235  5 Tc 2.52-2.67
Tc 0.7794 0.6214 0.1492  6 Tc 2.54-2.80
Tc 0.7794 0.8786 0.1492  6 Tc 2.54-2.80
Tc 0.9478 0.2500 0.7574  8 Tc 2.62-2.88, 1 Th 2.88

Values from the calculation:
VASP energy (Ha/atom): -0.355
Space-group type: No. 11
E_form (eV/atom): -0.036
Theoretical density (g/cm3): 11.5
M_tot (μB/f.u.): 0.00
N(E_F) (states/eV per atom): 1.03



[7]
Entry from Alexandria via LeMat-Bulk: Zr6Tl2Hg after structural relaxation (PBE).

Cell: 8.3398 8.3398 4.8273 Å, 106.74 106.74 47.77°
Closest atoms and distances in Å follow each position.
Atoms (fractional coordinates):
Zr 0.0827 0.5870 0.3358  1 Hg 2.92, 3 Tl 2.95-2.96
Zr 0.2452 0.7548 0.0000  2 Hg 2.93, 2 Tl 2.96
Zr 0.4130 0.9173 0.6642  1 Hg 2.92, 3 Tl 2.95-2.96
Zr 0.5870 0.0827 0.3358  1 Hg 2.92, 3 Tl 2.95-2.96
Zr 0.7548 0.2452 0.0000  2 Hg 2.93, 2 Tl 2.96
Zr 0.9173 0.4130 0.6642  1 Hg 2.92, 3 Tl 2.95-2.96
Tl 0.3337 0.3337 0.8350  8 Zr 2.95-2.96
Tl 0.6663 0.6663 0.1650  8 Zr 2.95-2.96
Hg 0.0000 0.0000 0.5000  8 Zr 2.92-2.93

Values from the calculation:
VASP energy (Ha/atom): -0.217
Space-group type: No. 12
E_form (eV/atom): 0.361
Theoretical density (g/cm3): 8.1
M_tot (μB/f.u.): 0.00
N(E_F) (states/eV per atom): 1.45
Excess energy over the best structure of this formula in the dataset (meV/atom): 452.7



[8]
Entry from Alexandria via LeMat-Bulk: BaAlIn2S after structural relaxation (PBE).

Cell: 5.0574 5.0574 7.0156 Å, 90.00 90.00 90.00°
Closest atoms and distances in Å follow each position.
Atoms (fractional coordinates):
Ba 0.0000 0.0000 0.0000  2 Al 3.51, 4 S 3.58
Al 0.0000 0.0000 0.5000  4 In 2.53
In 0.0000 0.5000 0.5000  2 Al 2.53
In 0.5000 0.0000 0.5000  2 Al 2.53
S 0.5000 0.5000 0.0000  4 Ba 3.58

Values from the calculation:
VASP energy (Ha/atom): -0.116
Space-group type: No. 123
Theoretical density (g/cm3): 3.9
M_tot (μB/f.u.): 0.00
N(E_F) (states/eV per atom): 0.58
ΔE_f (raw) (eV/atom): -0.10



[9]
Entry from Alexandria via LeMat-Bulk: Dy4Co2Ag after structural relaxation (PBE).

Cell: 7.1723 7.1739 7.7745 Å, 108.59 108.58 107.97°
Closest atoms and distances in Å follow each position.
Atoms (fractional coordinates):
Dy 0.0000 0.0000 0.0000  2 Co 2.66-2.89
Dy 0.0212 0.9787 0.4999  2 Co 2.66-2.89
Dy 0.1001 0.4644 0.3769  2 Co 2.60-2.79
Dy 0.3629 0.8205 0.1833  2 Co 2.66-2.89
Dy 0.4502 0.5432 0.8063  2 Co 2.60-2.79
Dy 0.4852 0.0783 0.8765  2 Co 2.60-2.79
Dy 0.5644 0.4290 0.3056  2 Co 2.60-2.78
Dy 0.8407 0.3410 0.6823  2 Co 2.66-2.89
Co 0.1242 0.7263 0.7437  4 Dy 2.60-2.89
Co 0.2217 0.3255 0.9400  4 Dy 2.60-2.89
Co 0.3458 0.2010 0.4394  4 Dy 2.60-2.89
Co 0.7479 0.1028 0.2431  4 Dy 2.60-2.89
Ag 0.6180 0.8462 0.5916  6 Dy 2.92-3.14
Ag 0.8680 0.5963 0.0912  6 Dy 2.92-3.14

Values from the calculation:
VASP energy (Ha/atom): -0.191
Space-group type: No. 1
E_form (eV/atom): -0.133
Theoretical density (g/cm3): 9.1
M_tot (μB/f.u.): 0.00
N(E_F) (states/eV per atom): 0.64



[10]
Entry from Alexandria via LeMat-Bulk: GePd2N after structural relaxation (PBE).

Cell: 6.7663 6.7663 6.7663 Å, 138.42 138.42 60.25°
Closest atoms and distances in Å follow each position.
Atoms (fractional coordinates):
Ge 0.0000 0.0000 0.0000  4 Pd 2.52
Ge 0.7500 0.2500 0.5000  4 Pd 2.52
Pd 0.2219 0.6250 0.0969  2 N 2.03
Pd 0.3750 0.4719 0.5969  2 N 2.03
Pd 0.5281 0.1250 0.9031  2 N 2.03
Pd 0.8750 0.7781 0.4031  2 N 2.03
N 0.2500 0.7500 0.5000  4 Pd 2.03
N 0.5000 0.5000 0.0000  4 Pd 2.03

Values from the calculation:
VASP energy (Ha/atom): -0.201
Space-group type: No. 122
Theoretical density (g/cm3): 7.4
M_tot (μB/f.u.): 0.00
N(E_F) (states/eV per atom): 0.38
Excess energy over the best structure of this formula in the dataset (meV/atom): 0.0
ΔE_f (raw) (eV/atom): 0.37



[11]
Entry from Alexandria via LeMat-Bulk: LiMg2ReH6 after structural relaxation (PBE).

Cell: 10.2016 10.2016 10.2016 Å, 27.00 27.00 27.00°
Closest atoms and distances in Å follow each position.
Atoms (fractional coordinates):
Li 0.0868 0.0868 0.0868  6 H 1.87-1.98
Li 0.9132 0.9132 0.9132  6 H 1.87-1.98
Mg 0.1870 0.1870 0.1870  9 H 2.25-2.44
Mg 0.3537 0.3537 0.3537  9 H 2.21-2.44
Mg 0.6463 0.6463 0.6463  9 H 2.21-2.44
Mg 0.8130 0.8130 0.8130  9 H 2.25-2.44
Re 0.0000 0.0000 0.0000  6 H 1.76
Re 0.5000 0.5000 0.5000  6 H 1.75
H 0.1270 0.1270 0.6319  1 Re 1.76
H 0.1270 0.6319 0.1270  1 Re 1.76
H 0.2180 0.6994 0.6994  1 Re 1.75, 1 Li 1.87
H 0.3006 0.3006 0.7820  1 Re 1.75, 1 Li 1.87
H 0.3006 0.7820 0.3006  1 Re 1.75, 1 Li 1.87
H 0.3681 0.8730 0.8730  1 Re 1.76
H 0.6319 0.1270 0.1270  1 Re 1.76
H 0.6994 0.2180 0.6994  1 Re 1.75, 1 Li 1.87
H 0.6994 0.6994 0.2180  1 Re 1.75, 1 Li 1.87
H 0.7820 0.3006 0.3006  1 Re 1.75, 1 Li 1.87
H 0.8730 0.3681 0.8730  1 Re 1.76
H 0.8730 0.8730 0.3681  1 Re 1.76

Values from the calculation:
VASP energy (Ha/atom): -0.147
Space-group type: No. 166
Theoretical density (g/cm3): 4.3
M_tot (μB/f.u.): 0.00
N(E_F) (states/eV per atom): 0.00



[12]
Entry from Alexandria via LeMat-Bulk: GaPRh after structural relaxation (PBE).

Cell: 3.8971 3.8971 4.3006 Å, 116.98 116.98 60.42°
Closest atoms and distances in Å follow each position.
Atoms (fractional coordinates):
Ga 0.0000 0.0000 0.0000  4 Rh 2.52-2.54, 3 P 2.67-2.68
P 0.4658 0.4658 0.3936  4 Rh 2.50-2.57, 3 Ga 2.67-2.68
Rh 0.2322 0.2322 0.6926  4 P 2.50-2.57, 4 Ga 2.52-2.54

Values from the calculation:
VASP energy (Ha/atom): -0.207
Space-group type: No. 8
E_form (eV/atom): -0.367
Theoretical density (g/cm3): 7.0
M_tot (μB/f.u.): 0.00
N(E_F) (states/eV per atom): 0.41
Excess energy over the best structure of this formula in the dataset (meV/atom): 97.7



[13]
Entry from Alexandria via LeMat-Bulk: CsKSr3 after structural relaxation (PBE).

Cell: 7.4068 7.4068 7.4068 Å, 90.00 90.00 90.00°
Closest atoms and distances in Å follow each position.
Atoms (fractional coordinates):
Cs 0.0000 0.0000 0.0000  12 Sr 5.24
K 0.5000 0.5000 0.5000  6 Sr 3.70
Sr 0.0000 0.5000 0.5000  2 K 3.70
Sr 0.5000 0.0000 0.5000  2 K 3.70
Sr 0.5000 0.5000 0.0000  2 K 3.70

Values from the calculation:
VASP energy (Ha/atom): -0.034
Space-group type: No. 221
E_form (eV/atom): 0.473
Theoretical density (g/cm3): 1.8
M_tot (μB/f.u.): 0.00
N(E_F) (states/eV per atom): 1.34